A plane-wave DFT calculation with PBE was carried out for an optimized crystal structure of K3CeSb2Te6.

Cell lengths 7.939, 7.939, 8.649 Å; angles 98.82, 98.82, 120.00 degrees
Fractional coordinates of all 12 atoms:
1 K 0.000 0.000 0.000
2 K 0.334 0.666 0.000
3 K 0.666 0.334 0.000
4 Ce 0.500 0.500 0.500
5 Sb 0.167 0.833 0.500
6 Sb 0.833 0.167 0.500
7 Te 0.088 0.431 0.292
8 Te 0.227 0.227 0.708
9 Te 0.431 0.088 0.292
10 Te 0.569 0.912 0.708
11 Te 0.773 0.773 0.292
12 Te 0.912 0.569 0.708

Output
E_form (uncorrected) = -0.7927 eV/atom
Crystal system = monoclinic
Density = 4.68 Mg/m³
Final energy = -3.82 eV per atom
SG = C2/m